No. 1
The following is a PBE-GGA calculation of a relaxed structure of HoPaO2, from Alexandria.

For the formation energy (no corrections), the calculation gives -2654 meV per atom. The total energy is -8.6511 eV/atom.

Structure (CIF):
```
data_HoPaO2
_chemical_formula_sum 'Ho3 Pa3 O6'
_space_group_name_H-M_alt 'R -3 m'
_space_group_IT_number 166
_space_group_name_Hall '-R 3 2"'
_cell_length_a 3.3315
_cell_length_b 3.3315
_cell_length_c 17.8847
_cell_angle_alpha 90.00
_cell_angle_beta 90.00
_cell_angle_gamma 120.00
loop_
_atom_site_label
_atom_site_fract_x
_atom_site_fract_y
_atom_site_fract_z
Ho1 0.0000 0.0000 0.0000
Pa1 0.0000 0.0000 0.5000
O1 0.0000 0.0000 0.2597
```



No. 2
The following is a PBE-GGA calculation of a relaxed structure of Li2YSnF, from Alexandria.

For the formation energy (no corrections), the calculation gives -1431 meV per atom. The value obtained for the energy above the most stable polymorph in this dataset is 0.000 eV per atom. The total energy is -4.6637 eV/atom.

Structure (CIF):
```
data_Li2YSnF
_chemical_formula_sum 'Li2 Y1 Sn1 F1'
_space_group_name_H-M_alt 'P 4/m m m'
_space_group_IT_number 123
_space_group_name_Hall '-P 4 2'
_cell_length_a 4.380
_cell_length_b 4.380
_cell_length_c 4.780
_cell_angle_alpha 90.00
_cell_angle_beta 90.00
_cell_angle_gamma 90.00
loop_
_atom_site_label
_atom_site_fract_x
_atom_site_fract_y
_atom_site_fract_z
Li1 0.000 0.500 0.000
Y1 0.000 0.000 0.500
Sn1 0.500 0.500 0.500
F1 0.000 0.000 0.000
```



No. 3
The following is a PBE-GGA calculation of a relaxed structure of Y2CdHRh, from Alexandria.

The total energy is -5.4455 eV/atom.

Structure (CIF):
```
data_Y2CdHRh
_chemical_formula_sum 'Y2 Cd1 H1 Rh1'
_space_group_name_H-M_alt 'P 4/m m m'
_space_group_IT_number 123
_space_group_name_Hall '-P 4 2'
_cell_length_a 5.109
_cell_length_b 5.109
_cell_length_c 3.641
_cell_angle_alpha 90.00
_cell_angle_beta 90.00
_cell_angle_gamma 90.00
loop_
_atom_site_label
_atom_site_fract_x
_atom_site_fract_y
_atom_site_fract_z
Y1 0.000 0.500 0.000
Cd1 0.000 0.000 0.500
H1 0.500 0.500 0.000
Rh1 0.500 0.500 0.500
```



No. 4
The following is a PBE-GGA calculation of a relaxed structure of Ca2Pm5Pt3, from Alexandria.

As for the formation energy: -0.72 eV per atom. The total energy is -5.3054 eV/atom.

Structure (CIF):
```
data_Ca2Pm5Pt3
_chemical_formula_sum 'Ca8 Pm20 Pt12'
_space_group_name_H-M_alt 'C m c 21'
_space_group_IT_number 36
_space_group_name_Hall 'C 2c -2'
_cell_length_a 4.942
_cell_length_b 29.823
_cell_length_c 7.664
_cell_angle_alpha 90.00
_cell_angle_beta 90.00
_cell_angle_gamma 90.00
loop_
_atom_site_label
_atom_site_fract_x
_atom_site_fract_y
_atom_site_fract_z
Ca1 0.000 0.026 0.000
Ca2 0.000 0.330 0.017
Pm1 0.000 0.094 0.377
Pm2 0.000 0.204 0.790
Pm3 0.000 0.212 0.227
Pm4 0.000 0.374 0.511
Pm5 0.000 0.451 0.159
Pt1 0.000 0.104 0.759
Pt2 0.000 0.275 0.510
Pt3 0.000 0.452 0.774
```



No. 5
The following is a PBE-GGA calculation of a relaxed structure of Dy8Cd2Au, from Alexandria.

As for the formation energy: -0.21 eV per atom. The total energy is -4.0258 eV/atom.

Structure (CIF):
```
data_Dy8Cd2Au
_chemical_formula_sum 'Dy16 Cd4 Au2'
_space_group_name_H-M_alt 'C 1 2/m 1'
_space_group_IT_number 12
_space_group_name_Hall '-C 2y'
_cell_length_a 18.041
_cell_length_b 5.217
_cell_length_c 6.911
_cell_angle_alpha 90.00
_cell_angle_beta 104.93
_cell_angle_gamma 90.00
loop_
_atom_site_label
_atom_site_fract_x
_atom_site_fract_y
_atom_site_fract_z
Dy1 0.021 0.000 0.270
Dy2 0.092 0.500 0.950
Dy3 0.158 0.500 0.465
Dy4 0.202 0.000 0.807
Cd1 0.187 0.000 0.228
Au1 0.000 0.500 0.500
```



No. 6
The following is a PBE-GGA calculation of a relaxed structure of NaTe2PdN, from Alexandria.

For the formation energy (no corrections), the calculation gives 1322 meV per atom. The value obtained for the energy above the most stable polymorph in this dataset is 1.038 eV per atom. The total energy is -2.9018 eV/atom.

Structure (CIF):
```
data_NaTe2PdN
_chemical_formula_sum 'Na1 Te2 Pd1 N1'
_space_group_name_H-M_alt 'P 4/m m m'
_space_group_IT_number 123
_space_group_name_Hall '-P 4 2'
_cell_length_a 5.476
_cell_length_b 5.476
_cell_length_c 4.131
_cell_angle_alpha 90.00
_cell_angle_beta 90.00
_cell_angle_gamma 90.00
loop_
_atom_site_label
_atom_site_fract_x
_atom_site_fract_y
_atom_site_fract_z
Na1 0.000 0.000 0.000
Te1 0.000 0.500 0.000
Pd1 0.500 0.500 0.500
N1 0.000 0.000 0.500
```



No. 7
The following is a PBE-GGA calculation of a relaxed structure of NbHW, from Alexandria.

The value obtained for the energy above the most stable polymorph in this dataset is 0.015 eV per atom. The total energy is -8.8143 eV/atom.

Structure (CIF):
```
data_NbHW
_chemical_formula_sum 'Nb2 H2 W2'
_space_group_name_H-M_alt 'P 1 21/m 1'
_space_group_IT_number 11
_space_group_name_Hall '-P 2yb'
_cell_length_a 4.690
_cell_length_b 3.316
_cell_length_c 4.754
_cell_angle_alpha 90.00
_cell_angle_beta 90.20
_cell_angle_gamma 90.00
loop_
_atom_site_label
_atom_site_fract_x
_atom_site_fract_y
_atom_site_fract_z
Nb1 0.240 0.250 0.497
H1 0.378 0.750 0.650
W1 0.239 0.750 0.008
```



No. 8
The following is a PBE-GGA calculation of a relaxed structure of ScSnPd, from Alexandria.

As for the formation energy: -0.59 eV per atom. The total energy is -5.7636 eV/atom.

Structure (CIF):
```
data_ScSnPd
_chemical_formula_sum 'Sc2 Sn2 Pd2'
_space_group_name_H-M_alt 'I 4 m m'
_space_group_IT_number 107
_space_group_name_Hall 'I 4 -2'
_cell_length_a 3.688
_cell_length_b 3.688
_cell_length_c 8.899
_cell_angle_alpha 90.00
_cell_angle_beta 90.00
_cell_angle_gamma 90.00
loop_
_atom_site_label
_atom_site_fract_x
_atom_site_fract_y
_atom_site_fract_z
Sc1 0.000 0.000 0.000
Sn1 0.000 0.000 0.321
Pd1 0.000 0.000 0.647
```